1.
The following is a GGA-PBE calculation of a relaxed structure of Th2MgHg3, from Alexandria.

Cell: 9.4925 9.4925 9.4925 Å, 158.74 148.82 38.04°
Last column: nearest neighbours and their distance in Å.
Atoms (fractional coordinates):
1 Th 0.0000 0.0000 0.0000  6 Hg 3.35-3.42, 4 Mg 3.36, 2 Th 3.50
2 Th 0.7500 0.2500 0.5000  10 Hg 3.33-3.50, 2 Th 3.50
3 Mg 0.4277 0.4277 0.0000  3 Hg 2.64-2.75
4 Hg 0.1592 0.6592 0.5000  3 Hg 2.85-2.91
5 Hg 0.3179 0.8179 0.5000  2 Mg 2.64, 1 Hg 2.85
6 Hg 0.5811 0.5811 0.0000  1 Mg 2.75, 2 Hg 2.91

Output
Polymorph energy (0 for the lowest one), meV per atom: 158


2.
The following is a GGA-PBE calculation of a relaxed structure of Th2MgHg2, from Alexandria.

Cell: 7.5634 7.5634 4.8107 Å, 90.00 90.00 90.00°
Last column: nearest neighbours and their distance in Å.
Atoms (fractional coordinates):
1 Th 0.1634 0.3366 0.0000  6 Hg 3.18-3.34, 1 Th 3.49
2 Th 0.3366 0.8366 0.0000  6 Hg 3.18-3.34, 1 Th 3.49
3 Th 0.6634 0.1634 0.0000  6 Hg 3.18-3.34, 1 Th 3.49
4 Th 0.8366 0.6634 0.0000  6 Hg 3.18-3.34, 1 Th 3.49
5 Mg 0.0000 0.0000 0.5000  4 Hg 2.91
6 Mg 0.5000 0.5000 0.5000  4 Hg 2.91
7 Hg 0.1417 0.6417 0.5000  2 Mg 2.91, 1 Hg 3.03, 2 Th 3.18
8 Hg 0.3583 0.1417 0.5000  2 Mg 2.91, 1 Hg 3.03, 2 Th 3.18
9 Hg 0.6417 0.8583 0.5000  2 Mg 2.91, 1 Hg 3.03, 2 Th 3.18
10 Hg 0.8583 0.3583 0.5000  2 Mg 2.91, 1 Hg 3.03, 2 Th 3.18

Output
Polymorph energy (0 for the lowest one), meV per atom: 0


3.
The following is a GGA-PBE calculation of a relaxed structure of Th3MgHg4, from Alexandria.

Cell: 3.4660 3.4660 17.1591 Å, 90.00 90.00 90.00°
Last column: nearest neighbours and their distance in Å.
Atoms (fractional coordinates):
1 Th 0.0000 0.0000 0.0000  8 Hg 3.35, 4 Th 3.47
2 Th 0.0000 0.0000 0.2655  8 Hg 3.34-3.35, 4 Th 3.47
3 Th 0.0000 0.0000 0.7345  8 Hg 3.34-3.35, 4 Th 3.47
4 Mg 0.0000 0.0000 0.5000  8 Hg 3.01
5 Hg 0.5000 0.5000 0.1332  8 Th 3.34-3.35, 4 Hg 3.47
6 Hg 0.5000 0.5000 0.3984  4 Mg 3.01, 4 Th 3.35
7 Hg 0.5000 0.5000 0.6016  4 Mg 3.01, 4 Th 3.35
8 Hg 0.5000 0.5000 0.8668  8 Th 3.34-3.35, 4 Hg 3.47


4.
The following is a GGA-PBE calculation of a relaxed structure of Th3Mg3Hg2, from Alexandria.

Cell: 6.0737 6.0737 15.6509 Å, 90.00 90.00 132.06°
Last column: nearest neighbours and their distance in Å.
Atoms (fractional coordinates):
1 Th 0.0752 0.9248 0.6159  3 Hg 3.23-3.39, 7 Mg 3.28-3.57, 1 Th 3.47
2 Th 0.0752 0.9248 0.8841  3 Hg 3.23-3.39, 7 Mg 3.28-3.57, 1 Th 3.47
3 Th 0.3241 0.6759 0.7500  5 Mg 3.27-3.37, 4 Hg 3.36, 2 Th 3.47
4 Th 0.6759 0.3241 0.2500  5 Mg 3.27-3.37, 4 Hg 3.36, 2 Th 3.47
5 Th 0.9248 0.0752 0.1159  3 Hg 3.23-3.39, 7 Mg 3.28-3.57, 1 Th 3.47
6 Th 0.9248 0.0752 0.3841  3 Hg 3.23-3.39, 7 Mg 3.28-3.57, 1 Th 3.47
7 Mg 0.3780 0.6220 0.5381  3 Hg 2.89-2.90, 1 Mg 2.96
8 Mg 0.3780 0.6220 0.9619  3 Hg 2.89-2.90, 1 Mg 2.96
9 Mg 0.3810 0.6190 0.2500  2 Hg 2.90
10 Mg 0.6190 0.3810 0.7500  2 Hg 2.90
11 Mg 0.6220 0.3780 0.0381  3 Hg 2.89-2.90, 1 Mg 2.96
12 Mg 0.6220 0.3780 0.4619  3 Hg 2.89-2.90, 1 Mg 2.96
13 Hg 0.2156 0.7844 0.1069  4 Mg 2.89-2.90, 1 Th 3.23
14 Hg 0.2156 0.7844 0.3931  4 Mg 2.89-2.90, 1 Th 3.23
15 Hg 0.7844 0.2156 0.6069  4 Mg 2.89-2.90, 1 Th 3.23
16 Hg 0.7844 0.2156 0.8931  4 Mg 2.89-2.90, 1 Th 3.23


5.
The following is a GGA-PBE calculation of a relaxed structure of Th2MgHg2, from Alexandria.

Cell: 6.1987 6.1987 6.1987 Å, 138.38 117.91 77.55°
Last column: nearest neighbours and their distance in Å.
Atoms (fractional coordinates):
1 Th 0.2114 0.2114 0.0000  6 Hg 3.28-3.34, 2 Mg 3.55
2 Th 0.7886 0.7886 0.0000  6 Hg 3.28-3.34, 2 Mg 3.55
3 Mg 0.5000 0.0000 0.5000  4 Hg 2.80
4 Hg 0.2295 0.5000 0.7295  2 Mg 2.80, 1 Hg 2.93
5 Hg 0.7705 0.5000 0.2705  2 Mg 2.80, 1 Hg 2.93

Output
Polymorph energy (0 for the lowest one), meV per atom: 57


6.
The following is a GGA-PBE calculation of a relaxed structure of ThMg3Hg, from Alexandria.

Cell: 4.7484 6.2186 6.2186 Å, 46.94 90.00 90.00°
Last column: nearest neighbours and their distance in Å.
Atoms (fractional coordinates):
1 Th 0.0000 0.0000 0.0000  2 Hg 3.12, 9 Mg 3.33-3.44
2 Mg 0.0000 0.6986 0.6986  2 Hg 2.91, 2 Mg 3.22
3 Mg 0.5000 0.2050 0.2050  2 Hg 2.79
4 Mg 0.5000 0.5075 0.5075  2 Hg 3.10, 5 Mg 3.22-3.45, 4 Th 3.43
5 Hg 0.0000 0.3330 0.3330  6 Mg 2.79-3.10


7.
The following is a GGA-PBE calculation of a relaxed structure of Th3MgHg2, from Alexandria.

Cell: 9.3261 9.3261 9.3261 Å, 138.50 59.28 139.63°
Last column: nearest neighbours and their distance in Å.
Atoms (fractional coordinates):
1 Th 0.1763 0.2425 0.4189  4 Hg 3.13-3.31
2 Th 0.2500 0.2500 0.0000  2 Th 3.22, 4 Hg 3.24, 2 Mg 3.30
3 Th 0.3237 0.7425 0.0662  4 Hg 3.13-3.31
4 Th 0.6763 0.2575 0.9338  4 Hg 3.13-3.31
5 Th 0.7500 0.7500 0.0000  2 Th 3.22, 4 Hg 3.24, 2 Mg 3.30
6 Th 0.8237 0.7575 0.5811  4 Hg 3.13-3.31
7 Mg 0.2500 0.7500 0.5000  4 Hg 3.03, 2 Mg 3.22, 2 Th 3.30
8 Mg 0.7500 0.2500 0.5000  4 Hg 3.03, 2 Mg 3.22, 2 Th 3.30
9 Hg 0.1307 0.7195 0.8502  2 Mg 3.03, 6 Th 3.13-3.31
10 Hg 0.3693 0.2195 0.5887  2 Mg 3.03, 6 Th 3.13-3.31
11 Hg 0.6307 0.7805 0.4113  2 Mg 3.03, 6 Th 3.13-3.31
12 Hg 0.8693 0.2805 0.1498  2 Mg 3.03, 6 Th 3.13-3.31


8.
The following is a GGA-PBE calculation of a relaxed structure of Th3Mg9Hg2, from Alexandria.

Cell: 8.8485 8.8485 8.8485 Å, 148.01 97.26 91.47°
Last column: nearest neighbours and their distance in Å.
Atoms (fractional coordinates):
1 Th 0.0000 0.0000 0.0000  12 Mg 3.31-3.68, 2 Th 3.53
2 Th 0.2858 0.2858 0.0000  2 Hg 3.28, 6 Mg 3.44-3.60, 1 Th 3.53
3 Th 0.7142 0.7142 0.0000  2 Hg 3.28, 6 Mg 3.44-3.60, 1 Th 3.53
4 Mg 0.0035 0.6329 0.3706  1 Hg 2.90, 4 Mg 2.99-3.03
5 Mg 0.1354 0.8583 0.2771  4 Mg 2.99-3.14, 2 Hg 3.07
6 Mg 0.2623 0.6329 0.6294  1 Hg 2.90, 4 Mg 2.99-3.03
7 Mg 0.4189 0.1417 0.2771  4 Mg 2.99-3.14, 2 Hg 3.07
8 Mg 0.5000 0.0000 0.5000  4 Hg 3.12, 4 Mg 3.14
9 Mg 0.5811 0.8583 0.7229  4 Mg 2.99-3.14, 2 Hg 3.07
10 Mg 0.7377 0.3671 0.3706  1 Hg 2.90, 4 Mg 2.99-3.03
11 Mg 0.8646 0.1417 0.7229  4 Mg 2.99-3.14, 2 Hg 3.07
12 Mg 0.9965 0.3671 0.6294  1 Hg 2.90, 4 Mg 2.99-3.03
13 Hg 0.3338 0.5000 0.8338  8 Mg 2.90-3.12
14 Hg 0.6662 0.5000 0.1662  8 Mg 2.90-3.12


9.
The following is a GGA-PBE calculation of a relaxed structure of Th2Mg12Hg7, from Alexandria.

Cell: 11.5574 11.5574 4.2601 Å, 90.00 90.00 120.00°
Last column: nearest neighbours and their distance in Å.
Atoms (fractional coordinates):
1 Th 0.3333 0.6667 0.2509  6 Hg 3.32
2 Th 0.6667 0.3333 0.7491  6 Hg 3.32
3 Mg 0.0434 0.6114 0.7497  4 Hg 2.84-2.88, 3 Mg 3.09-3.17
4 Mg 0.1072 0.8407 0.2536  4 Hg 2.89-2.99, 2 Mg 3.17-3.20
5 Mg 0.1593 0.2665 0.2536  4 Hg 2.89-2.99, 2 Mg 3.17-3.20
6 Mg 0.2665 0.1072 0.7464  4 Hg 2.89-2.99, 2 Mg 3.17-3.20
7 Mg 0.3886 0.4321 0.7497  4 Hg 2.84-2.88, 3 Mg 3.09-3.17
8 Mg 0.4321 0.0434 0.2503  4 Hg 2.84-2.88, 3 Mg 3.09-3.17
9 Mg 0.5679 0.9566 0.7497  4 Hg 2.84-2.88, 3 Mg 3.09-3.17
10 Mg 0.6114 0.5679 0.2503  4 Hg 2.84-2.88, 3 Mg 3.09-3.17
11 Mg 0.7335 0.8928 0.2536  4 Hg 2.89-2.99, 2 Mg 3.17-3.20
12 Mg 0.8407 0.7335 0.7464  4 Hg 2.89-2.99, 2 Mg 3.17-3.20
13 Mg 0.8928 0.1593 0.7464  4 Hg 2.89-2.99, 2 Mg 3.17-3.20
14 Mg 0.9566 0.3886 0.2503  4 Hg 2.84-2.88, 3 Mg 3.09-3.17
15 Hg 0.0000 0.0000 0.0000  6 Mg 2.89
16 Hg 0.1403 0.4273 0.7505  7 Mg 2.84-2.99
17 Hg 0.2869 0.8597 0.7505  7 Mg 2.84-2.99
18 Hg 0.4273 0.2869 0.2495  7 Mg 2.84-2.99
19 Hg 0.5727 0.7131 0.7505  7 Mg 2.84-2.99
20 Hg 0.7131 0.1403 0.2495  7 Mg 2.84-2.99
21 Hg 0.8597 0.5727 0.2495  7 Mg 2.84-2.99


10.
The following is a GGA-PBE calculation of a relaxed structure of Th2MgHg, from Alexandria.

Cell: 3.8741 3.8741 7.5478 Å, 90.00 90.00 90.00°
Last column: nearest neighbours and their distance in Å.
Atoms (fractional coordinates):
1 Th 0.0000 0.0000 0.2477  4 Hg 3.32, 4 Mg 3.34
2 Th 0.0000 0.0000 0.7523  4 Hg 3.32, 4 Mg 3.34
3 Mg 0.5000 0.5000 0.5000  8 Th 3.34
4 Hg 0.5000 0.5000 0.0000  8 Th 3.32

Output
Polymorph energy (0 for the lowest one), meV per atom: 47


Number 1: final energy -2.97 eV/atom. Number 2: final energy -3.61 eV/atom. Number 3: final energy -3.37 eV/atom. Number 4: final energy -3.52 eV/atom. Number 5: final energy -3.55 eV/atom. Number 6: final energy -2.49 eV/atom. Number 7: final energy -4.13 eV/atom. Number 8: final energy -2.70 eV/atom. Number 9: final energy -1.92 eV/atom. Number 10: final energy -4.22 eV/atom.